Entry 1:
Compound: In2SnSbAu5
Source: Alexandria via LeMat-Bulk
Functional: GGA-PBE
Structure: optimized geometry

As for the density of states at the Fermi level: 0.38 states/eV/atom. The total magnetization is 0.00 μB per formula unit. The value obtained for the uncorrected formation energy is -0.104 eV/atom.

Lattice parameters (Å, degrees): 3.9442 8.9599 12.1095 90.00 90.00 102.72
Fractional positions:
1 In 0.0992 0.1984 0.6625
2 In 0.8738 0.7475 0.8130
3 In 0.9008 0.8016 0.1625
4 In 0.1262 0.2525 0.3130
5 Au 0.9344 0.8689 0.5896
6 Au 0.5138 0.0277 0.2442
7 Au 0.4026 0.8053 0.9855
8 Au 0.2599 0.5197 0.7009
9 Au 0.5974 0.1947 0.4855
10 Au 0.0656 0.1311 0.0896
11 Au 0.7177 0.4354 0.8602
12 Au 0.2823 0.5646 0.3602
13 Au 0.7401 0.4803 0.2009
14 Au 0.4862 0.9723 0.7442
15 Sb 0.4294 0.8588 0.4357
16 Sb 0.5706 0.1412 0.9357
17 Sn 0.2420 0.4840 0.0324
18 Sn 0.7580 0.5160 0.5324

=====

Entry 2:
Compound: Sr2InSb4Au3
Source: Alexandria via LeMat-Bulk
Functional: GGA-PBE
Structure: optimized geometry

As for the density of states at the Fermi level: 0.20 states/eV/atom. The total magnetization is 0.00 μB per formula unit. The value obtained for the uncorrected formation energy is -0.461 eV/atom.

Lattice parameters (Å, degrees): 4.9387 4.9387 11.4406 90.00 90.00 90.00
Fractional positions:
1 In 0.5000 0.5000 0.5000
2 Au 0.0000 0.0000 0.5000
3 Au 0.5000 0.0000 0.8714
4 Au 0.0000 0.5000 0.1286
5 Sr 0.5000 0.0000 0.2413
6 Sr 0.0000 0.5000 0.7587
7 Sb 0.0000 0.0000 0.0000
8 Sb 0.5000 0.5000 0.0000
9 Sb 0.0000 0.5000 0.3637
10 Sb 0.5000 0.0000 0.6363

=====

Entry 3:
Compound: Sr2InSbAu6
Source: Alexandria via LeMat-Bulk
Functional: GGA-PBE
Structure: optimized geometry

As for the density of states at the Fermi level: 0.41 states/eV/atom. The total magnetization is 0.00 μB per formula unit. The value obtained for the uncorrected formation energy is -0.243 eV/atom.

Lattice parameters (Å, degrees): 7.4553 7.4553 7.4554 60.00 60.00 90.00
Fractional positions:
1 In 0.5000 0.5000 0.0000
2 Au 0.2505 0.2505 0.4989
3 Au 0.7495 0.7495 0.0000
4 Au 0.2505 0.2505 0.0000
5 Au 0.7495 0.2505 0.0000
6 Au 0.7495 0.7495 0.5011
7 Au 0.2505 0.7495 0.0000
8 Sr 0.2500 0.7500 0.5000
9 Sr 0.7500 0.2500 0.5000
10 Sb 0.0000 0.0000 0.0000

=====

Entry 4:
Compound: InSb2TeAu
Source: Alexandria via LeMat-Bulk
Functional: GGA-PBE
Structure: optimized geometry

As for the density of states at the Fermi level: 0.84 states/eV/atom. The total magnetization is 0.00 μB per formula unit. The value obtained for the uncorrected formation energy is 0.420 eV/atom.

Lattice parameters (Å, degrees): 5.4280 5.4280 5.6418 90.00 90.00 90.00
Fractional positions:
1 In 0.5000 0.5000 0.5000
2 Te 0.0000 0.0000 0.5000
3 Sb 0.0000 0.5000 0.0000
4 Sb 0.5000 0.0000 0.0000
5 Au 0.0000 0.0000 0.0000

=====

Entry 5:
Compound: TiInSb2Au
Source: Alexandria via LeMat-Bulk
Functional: GGA-PBE
Structure: optimized geometry

As for the density of states at the Fermi level: 1.03 states/eV/atom. The total magnetization is 0.12 μB per formula unit. The value obtained for the uncorrected formation energy is 1.095 eV/atom.

Lattice parameters (Å, degrees): 5.4758 5.1926 5.4758 90.00 90.00 90.00
Site moments in Bohr magnetons follow the coordinates.
Fractional positions:
1 In 0.0000 0.0000 0.0000  0.01
2 Sb 0.5000 0.0000 0.0000  0.01
3 Sb 0.0000 0.0000 0.5000  -0.01
4 Ti 0.0000 0.5000 0.0000  0.07
5 Au 0.5000 0.5000 0.5000  0.01

=====

Entry 6:
Compound: Tl3InSb2Au6
Source: Alexandria via LeMat-Bulk
Functional: GGA-PBE
Structure: optimized geometry

As for the density of states at the Fermi level: 0.58 states/eV/atom. The total magnetization is 0.00 μB per formula unit. The value obtained for the uncorrected formation energy is 0.020 eV/atom.

Lattice parameters (Å, degrees): 6.0576 6.0576 10.2737 90.00 90.00 120.00
Fractional positions:
1 Sb 0.6667 0.3333 0.9111
2 Sb 0.3333 0.6667 0.0889
3 Au 0.3198 0.1599 0.7192
4 Au 0.1599 0.3198 0.2808
5 Au 0.1599 0.8401 0.2808
6 Au 0.8401 0.1599 0.7192
7 Au 0.6802 0.8401 0.2808
8 Au 0.8401 0.6802 0.7192
9 In 0.0000 0.0000 0.5000
10 Tl 0.0000 0.0000 0.0000
11 Tl 0.6667 0.3333 0.4327
12 Tl 0.3333 0.6667 0.5673

=====

Entry 7:
Compound: TlInSbAu3
Source: Alexandria via LeMat-Bulk
Functional: GGA-PBE
Structure: optimized geometry

As for the density of states at the Fermi level: 0.40 states/eV/atom. The total magnetization is 0.00 μB per formula unit. The value obtained for the uncorrected formation energy is -0.015 eV/atom.

Lattice parameters (Å, degrees): 5.8747 5.9492 9.7477 107.77 90.00 90.00
Fractional positions:
1 Au 0.5000 0.2462 0.0000
2 Au 0.5000 0.7538 0.0000
3 Au 0.2500 0.2521 0.5041
4 Au 0.0000 0.2462 0.0000
5 Au 0.7500 0.7479 0.4959
6 Au 0.0000 0.7538 0.0000
7 In 0.7500 0.8932 0.7864
8 In 0.2500 0.1068 0.2136
9 Sb 0.7500 0.6005 0.2010
10 Sb 0.2500 0.3995 0.7990
11 Tl 0.2500 0.7495 0.4990
12 Tl 0.7500 0.2505 0.5010

=====

Entry 8:
Compound: ZnInSb2Au
Source: Alexandria via LeMat-Bulk
Functional: GGA-PBE
Structure: optimized geometry

As for the density of states at the Fermi level: 0.60 states/eV/atom. The total magnetization is 0.00 μB per formula unit. The value obtained for the uncorrected formation energy is 0.295 eV/atom.

Lattice parameters (Å, degrees): 5.4983 4.8414 5.4983 90.00 90.00 90.00
Fractional positions:
1 In 0.5000 0.5000 0.5000
2 Sb 0.5000 0.0000 0.0000
3 Sb 0.0000 0.0000 0.5000
4 Zn 0.0000 0.5000 0.0000
5 Au 0.0000 0.0000 0.0000

=====

Entry 9:
Compound: ZnIn2Sb2Au7
Source: Alexandria via LeMat-Bulk
Functional: GGA-PBE
Structure: optimized geometry

As for the density of states at the Fermi level: 0.43 states/eV/atom. The total magnetization is 0.00 μB per formula unit. The value obtained for the uncorrected formation energy is -0.074 eV/atom.

Lattice parameters (Å, degrees): 4.0259 4.0259 17.1641 83.02 83.02 89.87
Fractional positions:
1 Sb 0.2126 0.2126 0.5724
2 Sb 0.7874 0.7874 0.4276
3 Zn 0.0000 0.0000 0.0000
4 Au 0.5625 0.0627 0.8723
5 Au 0.2974 0.2974 0.4080
6 Au 0.9373 0.4375 0.1277
7 Au 0.7026 0.7026 0.5920
8 Au 0.5000 0.5000 0.0000
9 Au 0.0627 0.5625 0.8723
10 Au 0.4375 0.9373 0.1277
11 In 0.6230 0.6230 0.7519
12 In 0.3770 0.3770 0.2481

=====

Entry 10:
Compound: Sc2InAu
Source: Alexandria via LeMat-Bulk
Functional: GGA-PBE
Structure: optimized geometry

The energy of formation from the pure elements comes out at 0.092 eV per atom. As for the density of states at the Fermi level: 1.52 states/eV/atom. The total magnetization is 0.32 μB per formula unit.

Lattice parameters (Å, degrees): 7.7496 7.7496 7.7496 40.93 151.67 151.08
Site moments in Bohr magnetons follow the coordinates.
Fractional positions:
1 Sc 0.0000 0.3109 0.3109  0.09
2 Sc 0.0000 0.6891 0.6891  0.09
3 Au 0.0000 0.5000 0.5000  0.01
4 In 0.0000 0.0000 0.0000  0.00

=====

Entry 11:
Compound: Sc2InAu
Source: Alexandria via LeMat-Bulk
Functional: GGA-PBE
Structure: optimized geometry

The energy of formation from the pure elements comes out at -0.511 eV per atom. As for the density of states at the Fermi level: 1.20 states/eV/atom. The total magnetization is 0.18 μB per formula unit.

Lattice parameters (Å, degrees): 5.9856 5.9856 5.9856 146.57 132.49 59.34
Site moments in Bohr magnetons follow the coordinates.
Fractional positions:
1 Sc 0.9996 0.9996 0.0000  0.07
2 Sc 0.7243 0.2243 0.5000  0.03
3 In 0.2746 0.7746 0.5000  0.00
4 Au 0.5015 0.5015 0.0000  0.01

=====

Entry 12:
Compound: Sc2InAu
Source: Alexandria via LeMat-Bulk
Functional: GGA-PBE
Structure: optimized geometry

The energy of formation from the pure elements comes out at -0.624 eV per atom. As for the density of states at the Fermi level: 0.63 states/eV/atom. The total magnetization is 0.00 μB per formula unit.

Lattice parameters (Å, degrees): 3.4010 3.4459 8.0324 64.63 90.00 90.00
Fractional positions:
1 In 0.5000 0.7500 0.7500
2 Sc 0.0000 0.9792 0.0208
3 Sc 0.0000 0.5208 0.4792
4 Au 0.5000 0.2500 0.2500

=====

The lowest density of states at the Fermi level belongs to which entry? Sr2InSb4Au3